# 1
# MgMn2Al | the Alexandria database | PBE-GGA | relaxed
# - total magnetic moment (μB per formula unit) = 0.65
# - N(E_F) (states/eV/cell) = 8.905
# - ρ (g cm⁻³) = 4.500
# - ΔE_f (eV per atom) = 0.055
# - uncorrected energy (eV/atom) = -5.865
data_MgMn2Al
_cell_length_a 6.1961
_cell_length_b 6.1961
_cell_length_c 6.1961
_cell_angle_alpha 90.00
_cell_angle_beta 90.00
_cell_angle_gamma 90.00
_space_group_name_H-M_alt 'F -4 3 m'
_space_group_IT_number 216
_space_group_name_Hall 'F -4 2 3'
loop_
_atom_site_label
_atom_site_type_symbol
_atom_site_fract_x
_atom_site_fract_y
_atom_site_fract_z
Mg1 Mg 0.0000 0.0000 0.0000
Mn1 Mn 0.0000 0.0000 0.5000
Mn2 Mn 0.2500 0.2500 0.2500
Al1 Al 0.2500 0.2500 0.7500

# 2
# Mg14MnAl | the Alexandria database | PBE-GGA | relaxed
# - total magnetic moment (μB per formula unit) = 3.40
# - N(E_F) (states/eV/cell) = 7.572
# - energy above the lowest structure with this stoichiometry (meV/atom) = 8
# - ρ (g cm⁻³) = 2.028
# - ΔE_f (eV per atom) = 0.053
# - uncorrected energy (eV/atom) = -2.149
data_Mg14MnAl
_cell_length_a 6.2916
_cell_length_b 6.2916
_cell_length_c 10.0820
_cell_angle_alpha 90.00
_cell_angle_beta 90.00
_cell_angle_gamma 120.00
_space_group_name_H-M_alt 'P -6 m 2'
_space_group_IT_number 187
_space_group_name_Hall 'P -6 2'
loop_
_atom_site_label
_atom_site_type_symbol
_atom_site_fract_x
_atom_site_fract_y
_atom_site_fract_z
Mg1 Mg 0.0000 0.0000 0.2489
Mg2 Mg 0.0091 0.5045 0.2459
Mg3 Mg 0.3329 0.1664 0.5000
Mg4 Mg 0.3344 0.1672 0.0000
Mn1 Mn 0.3333 0.6667 0.0000
Al1 Al 0.3333 0.6667 0.5000

# 3
# Mg2MnAl | the Alexandria database | PBE-GGA | relaxed
# - total magnetic moment (μB per formula unit) = 3.33
# - N(E_F) (states/eV/cell) = 4.770
# - ρ (g cm⁻³) = 3.000
# - ΔE_f (eV per atom) = 0.141
# - uncorrected energy (eV/atom) = -3.885
data_Mg2MnAl
_cell_length_a 5.8106
_cell_length_b 8.2327
_cell_length_c 3.0208
_cell_angle_alpha 90.00
_cell_angle_beta 90.00
_cell_angle_gamma 90.00
_space_group_name_H-M_alt 'C m m m'
_space_group_IT_number 65
_space_group_name_Hall '-C 2 2'
loop_
_atom_site_label
_atom_site_type_symbol
_atom_site_fract_x
_atom_site_fract_y
_atom_site_fract_z
Mg1 Mg 0.2500 0.2500 0.0000
Mn1 Mn 0.0000 0.0000 0.5000
Al1 Al 0.0000 0.5000 0.5000

# 4
# MgMn2Al2 | the Alexandria database | PBE-GGA | relaxed
# - total magnetic moment (μB per formula unit) = 2.20
# - N(E_F) (states/eV/cell) = 7.124
# - energy above the lowest structure with this stoichiometry (meV/atom) = 88
# - ρ (g cm⁻³) = 4.291
# - ΔE_f (eV per atom) = 0.006
# - uncorrected energy (eV/atom) = -5.478
data_MgMn2Al2
_cell_length_a 7.2464
_cell_length_b 7.2464
_cell_length_c 2.7729
_cell_angle_alpha 90.00
_cell_angle_beta 90.00
_cell_angle_gamma 90.00
_space_group_name_H-M_alt 'P 4/m b m'
_space_group_IT_number 127
_space_group_name_Hall '-P 4 2ab'
loop_
_atom_site_label
_atom_site_type_symbol
_atom_site_fract_x
_atom_site_fract_y
_atom_site_fract_z
Mg1 Mg 0.0000 0.0000 0.0000
Mn1 Mn 0.1083 0.3917 0.0000
Al1 Al 0.1823 0.6823 0.5000

# 5
# Mg2MnAl | the Alexandria database | PBE-GGA | relaxed
# - total magnetic moment (μB per formula unit) = 3.15
# - N(E_F) (states/eV/cell) = 4.470
# - ρ (g cm⁻³) = 3.104
# - ΔE_f (eV per atom) = 0.096
# - uncorrected energy (eV/atom) = -3.929
data_Mg2MnAl
_cell_length_a 4.3087
_cell_length_b 4.3087
_cell_length_c 7.5234
_cell_angle_alpha 90.00
_cell_angle_beta 90.00
_cell_angle_gamma 90.00
_space_group_name_H-M_alt 'I -4 m 2'
_space_group_IT_number 119
_space_group_name_Hall 'I -4 -2'
loop_
_atom_site_label
_atom_site_type_symbol
_atom_site_fract_x
_atom_site_fract_y
_atom_site_fract_z
Mg1 Mg 0.0000 0.0000 0.0000
Mg2 Mg 0.0000 0.5000 0.2500
Mn1 Mn 0.0000 0.5000 0.7500
Al1 Al 0.0000 0.0000 0.5000

# 6
# Mg2MnAl | the Alexandria database | PBE-GGA | relaxed
# - total magnetic moment (μB per formula unit) = 3.65
# - N(E_F) (states/eV/cell) = 9.639
# - ρ (g cm⁻³) = 2.911
# - ΔE_f (eV per atom) = 0.195
# - uncorrected energy (eV/atom) = -3.831
data_Mg2MnAl
_cell_length_a 3.0009
_cell_length_b 3.0009
_cell_length_c 28.6421
_cell_angle_alpha 90.00
_cell_angle_beta 90.00
_cell_angle_gamma 120.00
_space_group_name_H-M_alt 'R -3 m'
_space_group_IT_number 166
_space_group_name_Hall '-R 3 2"'
loop_
_atom_site_label
_atom_site_type_symbol
_atom_site_fract_x
_atom_site_fract_y
_atom_site_fract_z
Mg1 Mg 0.0000 0.0000 0.2479
Mn1 Mn 0.0000 0.0000 0.5000
Al1 Al 0.0000 0.0000 0.0000

# 7
# MgMn2Al2 | the Alexandria database | PBE-GGA | relaxed
# - total magnetic moment (μB per formula unit) = 4.95
# - N(E_F) (states/eV/cell) = 5.779
# - energy above the lowest structure with this stoichiometry (meV/atom) = 281
# - ρ (g cm⁻³) = 3.784
# - ΔE_f (eV per atom) = 0.199
# - uncorrected energy (eV/atom) = -5.285
data_MgMn2Al2
_cell_length_a 3.8043
_cell_length_b 3.8043
_cell_length_c 11.4094
_cell_angle_alpha 90.00
_cell_angle_beta 90.00
_cell_angle_gamma 90.00
_space_group_name_H-M_alt 'I 4/m m m'
_space_group_IT_number 139
_space_group_name_Hall '-I 4 2'
loop_
_atom_site_label
_atom_site_type_symbol
_atom_site_fract_x
_atom_site_fract_y
_atom_site_fract_z
Mg1 Mg 0.0000 0.0000 0.0000
Mn1 Mn 0.0000 0.0000 0.4006
Al1 Al 0.0000 0.5000 0.2500

# 8
# Mg2MnAl | the Alexandria database | PBE-GGA | relaxed
# - total magnetic moment (μB per formula unit) = 0.00
# - N(E_F) (states/eV/cell) = 1.863
# - ρ (g cm⁻³) = 3.076
# - ΔE_f (eV per atom) = 0.648
# - uncorrected energy (eV/atom) = -3.377
data_Mg2MnAl
_cell_length_a 7.3243
_cell_length_b 7.3243
_cell_length_c 5.2540
_cell_angle_alpha 90.00
_cell_angle_beta 90.00
_cell_angle_gamma 90.00
_space_group_name_H-M_alt 'I -4 2 d'
_space_group_IT_number 122
_space_group_name_Hall 'I -4 2bw'
loop_
_atom_site_label
_atom_site_type_symbol
_atom_site_fract_x
_atom_site_fract_y
_atom_site_fract_z
Mg1 Mg 0.2315 0.7500 0.1250
Mn1 Mn 0.0000 0.0000 0.0000
Al1 Al 0.0000 0.0000 0.5000

# 9
# Mg2MnAl | the Alexandria database | PBE-GGA | relaxed
# - total magnetic moment (μB per formula unit) = 3.06
# - N(E_F) (states/eV/cell) = 5.597
# - ρ (g cm⁻³) = 3.081
# - ΔE_f (eV per atom) = 0.153
# - uncorrected energy (eV/atom) = -3.872
data_Mg2MnAl
_cell_length_a 5.6329
_cell_length_b 9.5570
_cell_length_c 2.8356
_cell_angle_alpha 90.00
_cell_angle_beta 112.80
_cell_angle_gamma 90.00
_space_group_name_H-M_alt 'C 1 2/m 1'
_space_group_IT_number 12
_space_group_name_Hall '-C 2y'
loop_
_atom_site_label
_atom_site_type_symbol
_atom_site_fract_x
_atom_site_fract_y
_atom_site_fract_z
Mg1 Mg 0.2500 0.2500 0.0000
Mn1 Mn 0.0000 0.0000 0.5000
Al1 Al 0.0000 0.5000 0.5000

# 10
# Mg16MnAl12 | the Alexandria database | PBE-GGA | relaxed
# - total magnetic moment (μB per formula unit) = 4.07
# - N(E_F) (states/eV/cell) = 27.732
# - energy above the lowest structure with this stoichiometry (meV/atom) = 8
# - ρ (g cm⁻³) = 2.221
# - ΔE_f (eV per atom) = -0.009
# - uncorrected energy (eV/atom) = -2.753
data_Mg16MnAl12
_cell_length_a 14.7352
_cell_length_b 14.7352
_cell_length_c 9.1576
_cell_angle_alpha 90.00
_cell_angle_beta 90.00
_cell_angle_gamma 120.00
_space_group_name_H-M_alt 'R 3 m'
_space_group_IT_number 160
_space_group_name_Hall 'R 3 -2"'
loop_
_atom_site_label
_atom_site_type_symbol
_atom_site_fract_x
_atom_site_fract_y
_atom_site_fract_z
Mg1 Mg 0.0000 0.0000 0.0000
Mg2 Mg 0.0129 0.3066 0.2979
Mg3 Mg 0.0669 0.5335 0.2097
Mg4 Mg 0.1966 0.0983 0.5029
Mg5 Mg 0.2172 0.4344 0.7749
Mn1 Mn 0.0000 0.0000 0.6943
Al1 Al 0.9995 0.1809 0.8093
Al2 Al 0.0624 0.1248 0.2894
Al3 Al 0.0818 0.5409 0.7216

# 11
# Mg6MnAl | the Alexandria database | PBE-GGA | relaxed
# - total magnetic moment (μB per formula unit) = 3.18
# - N(E_F) (states/eV/cell) = 8.975
# - ρ (g cm⁻³) = 2.336
# - ΔE_f (eV per atom) = 0.086
# - uncorrected energy (eV/atom) = -2.724
data_Mg6MnAl
_cell_length_a 4.9233
_cell_length_b 6.1601
_cell_length_c 10.6742
_cell_angle_alpha 90.00
_cell_angle_beta 90.00
_cell_angle_gamma 90.00
_space_group_name_H-M_alt 'A m m 2'
_space_group_IT_number 38
_space_group_name_Hall 'A 2 -2'
loop_
_atom_site_label
_atom_site_type_symbol
_atom_site_fract_x
_atom_site_fract_y
_atom_site_fract_z
Mg1 Mg 0.0000 0.0000 0.0000
Mg2 Mg 0.0000 0.2428 0.2534
Mg3 Mg 0.5000 0.0000 0.8350
Mg4 Mg 0.5000 0.2465 0.5838
Mn1 Mn 0.5000 0.0000 0.3437
Al1 Al 0.0000 0.0000 0.4910

# 12
# Mg14MnAl | the Alexandria database | PBE-GGA | relaxed
# - total magnetic moment (μB per formula unit) = 3.27
# - N(E_F) (states/eV/cell) = 13.262
# - energy above the lowest structure with this stoichiometry (meV/atom) = 0
# - ρ (g cm⁻³) = 2.027
# - ΔE_f (eV per atom) = 0.046
# - uncorrected energy (eV/atom) = -2.157
data_Mg14MnAl
_cell_length_a 10.2207
_cell_length_b 6.2294
_cell_length_c 10.8660
_cell_angle_alpha 90.00
_cell_angle_beta 90.00
_cell_angle_gamma 90.00
_space_group_name_H-M_alt 'A m m 2'
_space_group_IT_number 38
_space_group_name_Hall 'A 2 -2'
loop_
_atom_site_label
_atom_site_type_symbol
_atom_site_fract_x
_atom_site_fract_y
_atom_site_fract_z
Mg1 Mg 0.0000 0.0000 0.0000
Mg2 Mg 0.0000 0.0000 0.5001
Mg3 Mg 0.0000 0.2503 0.2519
Mg4 Mg 0.2524 0.0000 0.1663
Mg5 Mg 0.2555 0.0000 0.6645
Mg6 Mg 0.2633 0.2475 0.4198
Mg7 Mg 0.5000 0.2502 0.2481
Mn1 Mn 0.5000 0.0000 0.5029
Al1 Al 0.5000 0.0000 0.0024

# 13
# MgMnAl | the Alexandria database | PBE-GGA | relaxed
# - total magnetic moment (μB per formula unit) = 2.95
# - N(E_F) (states/eV/cell) = 3.094
# - ρ (g cm⁻³) = 3.615
# - ΔE_f (eV per atom) = 0.006
# - uncorrected energy (eV/atom) = -4.830
data_MgMnAl
_cell_length_a 12.0805
_cell_length_b 2.8835
_cell_length_c 2.8838
_cell_angle_alpha 90.00
_cell_angle_beta 103.73
_cell_angle_gamma 90.00
_space_group_name_H-M_alt 'C 1 m 1'
_space_group_IT_number 8
_space_group_name_Hall 'C -2y'
loop_
_atom_site_label
_atom_site_type_symbol
_atom_site_fract_x
_atom_site_fract_y
_atom_site_fract_z
Mg1 Mg 0.0000 0.0000 0.0000
Mn1 Mn 0.3302 0.0000 0.3301
Al1 Al 0.1931 0.5000 0.6933

# 14
# MgMn2Al | the Alexandria database | PBE-GGA | relaxed
# - total magnetic moment (μB per formula unit) = 0.69
# - N(E_F) (states/eV/cell) = 3.412
# - ρ (g cm⁻³) = 4.720
# - ΔE_f (eV per atom) = 0.008
# - uncorrected energy (eV/atom) = -5.911
data_MgMn2Al
_cell_length_a 2.8116
_cell_length_b 2.8116
_cell_length_c 7.1733
_cell_angle_alpha 90.00
_cell_angle_beta 90.00
_cell_angle_gamma 90.00
_space_group_name_H-M_alt 'P 4 m m'
_space_group_IT_number 99
_space_group_name_Hall 'P 4 -2'
loop_
_atom_site_label
_atom_site_type_symbol
_atom_site_fract_x
_atom_site_fract_y
_atom_site_fract_z
Mg1 Mg 0.0000 0.0000 0.0000
Mn1 Mn 0.0000 0.0000 0.4457
Mn2 Mn 0.5000 0.5000 0.2704
Al1 Al 0.5000 0.5000 0.6724

# 15
# Mg2MnAl | the Alexandria database | PBE-GGA | relaxed
# - total magnetic moment (μB per formula unit) = 3.13
# - N(E_F) (states/eV/cell) = 2.350
# - ρ (g cm⁻³) = 3.089
# - ΔE_f (eV per atom) = 0.066
# - uncorrected energy (eV/atom) = -3.960
data_Mg2MnAl
_cell_length_a 4.0524
_cell_length_b 4.0524
_cell_length_c 4.2733
_cell_angle_alpha 90.00
_cell_angle_beta 90.00
_cell_angle_gamma 90.00
_space_group_name_H-M_alt 'P 4/m m m'
_space_group_IT_number 123
_space_group_name_Hall '-P 4 2'
loop_
_atom_site_label
_atom_site_type_symbol
_atom_site_fract_x
_atom_site_fract_y
_atom_site_fract_z
Mg1 Mg 0.0000 0.5000 0.0000
Mn1 Mn 0.0000 0.0000 0.5000
Al1 Al 0.5000 0.5000 0.5000

# 16
# Mg16MnAl12 | the Alexandria database | PBE-GGA | relaxed
# - total magnetic moment (μB per formula unit) = 3.64
# - N(E_F) (states/eV/cell) = 20.099
# - energy above the lowest structure with this stoichiometry (meV/atom) = 0
# - ρ (g cm⁻³) = 2.232
# - ΔE_f (eV per atom) = -0.016
# - uncorrected energy (eV/atom) = -2.761
data_Mg16MnAl12
_cell_length_a 10.4635
_cell_length_b 14.7716
_cell_length_c 9.0327
_cell_angle_alpha 90.00
_cell_angle_beta 125.10
_cell_angle_gamma 90.00
_space_group_name_H-M_alt 'C 1 m 1'
_space_group_IT_number 8
_space_group_name_Hall 'C -2y'
loop_
_atom_site_label
_atom_site_type_symbol
_atom_site_fract_x
_atom_site_fract_y
_atom_site_fract_z
Mg1 Mg 0.0000 0.0000 0.0000
Mg2 Mg 0.0150 0.3007 0.3192
Mg3 Mg 0.0164 0.0000 0.6560
Mg4 Mg 0.0358 0.3643 0.9944
Mg5 Mg 0.1020 0.5000 0.2921
Mg6 Mg 0.2008 0.1960 0.6899
Mg7 Mg 0.3259 0.3277 0.0040
Mg8 Mg 0.3401 0.3424 0.4001
Mg9 Mg 0.3435 0.0000 0.3507
Mg10 Mg 0.4403 0.1576 0.6032
Mn1 Mn 0.3155 0.0000 0.6936
Al1 Al 0.0980 0.0910 0.3781
Al2 Al 0.1199 0.5000 0.8136
Al3 Al 0.1801 0.1846 0.1872
Al4 Al 0.2288 0.4073 0.6395
Al5 Al 0.2759 0.0898 0.0028
Al6 Al 0.3154 0.5000 0.1811
Al7 Al 0.4984 0.3164 0.8194

# 17
# MgMnAl | the Alexandria database | PBE-GGA | relaxed
# - total magnetic moment (μB per formula unit) = 2.35
# - N(E_F) (states/eV/cell) = 7.594
# - ρ (g cm⁻³) = 3.418
# - ΔE_f (eV per atom) = -0.019
# - uncorrected energy (eV/atom) = -4.854
data_MgMnAl
_cell_length_a 2.8300
_cell_length_b 17.3393
_cell_length_c 4.2064
_cell_angle_alpha 90.00
_cell_angle_beta 90.00
_cell_angle_gamma 90.00
_space_group_name_H-M_alt 'C m c m'
_space_group_IT_number 63
_space_group_name_Hall '-C 2c 2'
loop_
_atom_site_label
_atom_site_type_symbol
_atom_site_fract_x
_atom_site_fract_y
_atom_site_fract_z
Mg1 Mg 0.0000 0.1935 0.2500
Mn1 Mn 0.0000 0.4484 0.7500
Al1 Al 0.0000 0.0749 0.7500

# 18
# MgMnAl | the Alexandria database | PBE-GGA | relaxed
# - total magnetic moment (μB per formula unit) = 3.27
# - N(E_F) (states/eV/cell) = 7.327
# - ρ (g cm⁻³) = 2.961
# - ΔE_f (eV per atom) = 0.350
# - uncorrected energy (eV/atom) = -4.485
data_MgMnAl
_cell_length_a 6.1996
_cell_length_b 6.1996
_cell_length_c 6.1996
_cell_angle_alpha 90.00
_cell_angle_beta 90.00
_cell_angle_gamma 90.00
_space_group_name_H-M_alt 'F -4 3 m'
_space_group_IT_number 216
_space_group_name_Hall 'F -4 2 3'
loop_
_atom_site_label
_atom_site_type_symbol
_atom_site_fract_x
_atom_site_fract_y
_atom_site_fract_z
Mg1 Mg 0.0000 0.0000 0.0000
Mn1 Mn 0.2500 0.2500 0.2500
Al1 Al 0.0000 0.0000 0.5000

# 19
# Mg2MnAl | the Alexandria database | PBE-GGA | relaxed
# - total magnetic moment (μB per formula unit) = 2.83
# - N(E_F) (states/eV/cell) = 5.383
# - ρ (g cm⁻³) = 3.057
# - ΔE_f (eV per atom) = 0.105
# - uncorrected energy (eV/atom) = -3.921
data_Mg2MnAl
_cell_length_a 3.2567
_cell_length_b 4.6421
_cell_length_c 9.3799
_cell_angle_alpha 90.00
_cell_angle_beta 90.00
_cell_angle_gamma 90.00
_space_group_name_H-M_alt 'I m m 2'
_space_group_IT_number 44
_space_group_name_Hall 'I 2 -2'
loop_
_atom_site_label
_atom_site_type_symbol
_atom_site_fract_x
_atom_site_fract_y
_atom_site_fract_z
Mg1 Mg 0.0000 0.0000 0.0000
Mg2 Mg 0.0000 0.5000 0.2235
Mn1 Mn 0.0000 0.0000 0.4769
Al1 Al 0.0000 0.5000 0.7649

# 20
# MgMn2Al | the Alexandria database | PBE-GGA | relaxed
# - total magnetic moment (μB per formula unit) = 3.61
# - N(E_F) (states/eV/cell) = 6.833
# - ρ (g cm⁻³) = 4.751
# - ΔE_f (eV per atom) = 0.114
# - uncorrected energy (eV/atom) = -5.805
data_MgMn2Al
_cell_length_a 2.9169
_cell_length_b 4.3921
_cell_length_c 8.7926
_cell_angle_alpha 90.00
_cell_angle_beta 90.00
_cell_angle_gamma 90.00
_space_group_name_H-M_alt 'I m m 2'
_space_group_IT_number 44
_space_group_name_Hall 'I 2 -2'
loop_
_atom_site_label
_atom_site_type_symbol
_atom_site_fract_x
_atom_site_fract_y
_atom_site_fract_z
Mg1 Mg 0.0000 0.0000 0.0000
Mn1 Mn 0.0000 0.0000 0.4749
Mn2 Mn 0.0000 0.5000 0.7634
Al1 Al 0.0000 0.5000 0.2231